The following is a PBE+U calculation of crystalline NiSnP2O at its relaxed geometry, from the Alexandria database.

Output
The value obtained for the electronic total energy is -3.664 eV per atom. As for the total magnetic moment: 0.93 Bohr magnetons per cell.

Unit cell a=5.175 b=5.175 c=3.853 alpha=90.00 beta=90.00 gamma=90.00
Positions (direct):
P 0.000 0.500 0.000
P 0.500 0.000 0.000
O 0.000 0.000 0.500
Ni 0.500 0.500 0.500
Sn 0.000 0.000 0.000